First-principles (PBE with a Hubbard U) data for a relaxed Ba2CoTeO6 crystal, as listed in the Alexandria database.

a = 5.8375 Å, b = 5.8375 Å, c = 5.8375 Å
α = 59.88°, β = 59.88°, γ = 59.88°
Closest atoms and distances in Å follow each position.
Sites, in units of the cell vectors:
Ba 0.2504 0.2504 0.2504  12 O 2.92
Ba 0.7496 0.7496 0.7496  12 O 2.92
Co 0.0000 0.0000 0.0000  6 O 2.16
Te 0.5000 0.5000 0.5000  6 O 1.97
O 0.2614 0.7384 0.7384  1 Te 1.97, 1 Co 2.16
O 0.2616 0.2616 0.7386  1 Te 1.97, 1 Co 2.16
O 0.2616 0.7386 0.2616  1 Te 1.97, 1 Co 2.16
O 0.7384 0.2614 0.7384  1 Te 1.97, 1 Co 2.16
O 0.7384 0.7384 0.2614  1 Te 1.97, 1 Co 2.16
O 0.7386 0.2616 0.2616  1 Te 1.97, 1 Co 2.16

Summary:
energy: -6.0692 eV per atom
total magnetic moment: 3.017 Bohr magnetons per cell